# KLiCu2, relaxed, DFT PBEsol
data_KLiCu2
_cell_length_a 2.7297
_cell_length_b 4.2956
_cell_length_c 6.8911
_cell_angle_alpha 90.00
_cell_angle_beta 101.15
_cell_angle_gamma 90.00
_symmetry_space_group_name_H-M 'P 1 2/m 1'
_symmetry_Int_Tables_number 10
loop_
_symmetry_equiv_pos_as_xyz
'x,y,z'
'-x,-y,-z'
'-x,y,-z'
'x,-y,z'
loop_
_atom_site_label
_atom_site_type_symbol
_atom_site_fract_x
_atom_site_fract_y
_atom_site_fract_z
K1 K 0.0000 0.0000 0.0000
Li1 Li 0.0000 0.0000 0.5000
Cu1 Cu 0.3502 0.5000 0.6490
# * total moment: 0.00 μB per formula unit
# * DOS at the Fermi energy: 1.2 states/eV/f.u.
# * DFT formation energy: 8.29 kcal/mol of atoms
# * uncorrected energy: -10.33 eV per cell